Entry 1:
Below is a relaxed structure of LiEr2Zn3, with properties calculated at the GGA-PBE level.

Calculated values
Its energy of formation is -0.27 eV/atom. As for the relative energy among the computed polymorphs: 0.00 eV/f.u. As for the total energy: -2.75 eV per atom. Its space group is No. 164.

Cell lengths 4.8623, 4.8623, 11.8388 Å; angles 90.00, 90.00, 120.00 degrees
With the nearest neighbours (Å) after each atom.
Sites, in units of the cell vectors:
Zn1 0.6667 0.3333 0.0922  1 Li 2.88, 7 Er 2.99-3.21
Zn2 0.3333 0.6667 0.9078  1 Li 2.88, 7 Er 2.99-3.21
Zn3 0.0000 0.0000 0.7455  5 Er 2.91-3.01, 3 Li 2.97
Zn4 0.0000 0.0000 0.2545  5 Er 2.91-3.01, 3 Li 2.97
Zn5 0.6667 0.3333 0.5724  4 Li 2.81-3.01, 4 Er 2.94
Zn6 0.3333 0.6667 0.4276  4 Li 2.81-3.01, 4 Er 2.94
Li1 0.6667 0.3333 0.3352  8 Zn 2.81-3.01
Li2 0.3333 0.6667 0.6648  8 Zn 2.81-3.01
Er1 0.0000 0.0000 0.5000  8 Zn 2.91-2.94
Er2 0.6667 0.3333 0.8209  8 Zn 2.94-3.21
Er3 0.3333 0.6667 0.1791  8 Zn 2.94-3.21
Er4 0.0000 0.0000 0.0000  8 Zn 3.01

---

Entry 2:
Below is a relaxed structure of BeAs2Rh, with properties calculated at the GGA-PBE level.

Calculated values
Its energy of formation is 0.15 eV/atom. As for the total energy: -4.94 eV per atom. Its space group is No. 123.

Cell lengths 4.1120, 4.1158, 3.5118 Å; angles 90.00, 90.00, 90.00 degrees
With the nearest neighbours (Å) after each atom.
Sites, in units of the cell vectors:
Rh1 0.0000 0.5000 0.5000  8 As 2.70-2.71, 4 Be 2.91
As1 0.5000 0.5000 0.0000  4 Rh 2.70, 4 Be 2.71, 4 As 2.91
As2 0.0000 0.0000 0.0000  4 Be 2.70, 4 Rh 2.71, 4 As 2.91
Be1 0.5000 0.0000 0.5000  8 As 2.70-2.71, 4 Rh 2.91

---

Entry 3:
Below is a relaxed structure of Ca2TlP, with properties calculated at the GGA-PBE level.

Calculated values
Its energy of formation is -0.56 eV/atom. As for the relative energy among the computed polymorphs: 0.44 eV/f.u. As for the total energy: -3.51 eV per atom. Its space group is No. 123.

Cell lengths 5.0302, 5.0302, 4.0113 Å; angles 90.00, 90.00, 90.00 degrees
With the nearest neighbours (Å) after each atom.
Sites, in units of the cell vectors:
Ca1 0.5000 0.5000 0.0000  4 P 3.22, 4 Tl 3.22, 4 Ca 3.56
Ca2 0.0000 0.0000 0.0000  4 Tl 3.22, 4 P 3.22, 4 Ca 3.56
Tl1 0.0000 0.5000 0.5000  8 Ca 3.22, 4 P 3.56
P1 0.5000 0.0000 0.5000  8 Ca 3.22, 4 Tl 3.56

---

Entry 4:
Below is a relaxed structure of SeBr, with properties calculated at the GGA-PBE level.

Calculated values
The value obtained for the uncorrected formation energy is -0.068 eV per atom. As for the total energy: -2.65 eV per atom. Its space group is No. 41.

Cell lengths 4.4511, 4.4511, 15.3153 Å; angles 90.00, 90.00, 106.94 degrees
With the nearest neighbours (Å) after each atom.
Sites, in units of the cell vectors:
Se1 0.4265 0.1900 0.0492  1 Se 2.27, 1 Br 2.42
Se2 0.1900 0.4265 0.9508  1 Se 2.27, 1 Br 2.42
Se3 0.6900 0.9265 0.5492  1 Se 2.27, 1 Br 2.42
Se4 0.9265 0.6900 0.4508  1 Se 2.27, 1 Br 2.42
Br1 0.9538 0.0549 0.8373  1 Se 2.42
Br2 0.5549 0.4538 0.3373  1 Se 2.42
Br3 0.4538 0.5549 0.6627  1 Se 2.42
Br4 0.0549 0.9538 0.1627  1 Se 2.42

---

Entry 5:
Below is a relaxed structure of Rb2Tl3Hg4, with properties calculated at the GGA-PBE level.

Calculated values
Its energy of formation is -0.12 eV/atom. As for the relative energy among the computed polymorphs: 0.26 eV/f.u. As for the total energy: -1.26 eV per atom. Its space group is No. 70.

Cell lengths 6.7325, 6.6584, 16.6097 Å; angles 84.12, 78.31, 59.63 degrees
With the nearest neighbours (Å) after each atom.
Sites, in units of the cell vectors:
Tl1 0.2520 0.0000 0.4959  4 Tl 3.33-3.37, 4 Hg 3.38-3.41
Tl2 0.7480 0.0000 0.5041  4 Tl 3.33-3.37, 4 Hg 3.38-3.41
Tl3 0.0000 0.0000 0.0000  4 Hg 3.32, 4 Tl 3.33
Tl4 0.7500 0.5000 0.5000  4 Hg 3.32, 4 Tl 3.33
Tl5 0.0020 0.5000 0.9959  4 Tl 3.33-3.37, 4 Hg 3.38-3.41
Tl6 0.4980 0.5000 0.0041  4 Tl 3.33-3.37, 4 Hg 3.38-3.41
Hg1 0.2570 0.6778 0.8303  1 Hg 3.14, 3 Tl 3.32-3.41
Hg2 0.9849 0.1778 0.3303  1 Hg 3.14, 3 Tl 3.32-3.41
Hg3 0.9127 0.3222 0.8303  1 Hg 3.14, 3 Tl 3.32-3.41
Hg4 0.0652 0.6778 0.1697  1 Hg 3.14, 3 Tl 3.32-3.41
Hg5 0.6848 0.8222 0.3303  1 Hg 3.14, 3 Tl 3.32-3.41
Hg6 0.8373 0.1778 0.6697  1 Hg 3.14, 3 Tl 3.32-3.41
Hg7 0.7651 0.3222 0.1697  1 Hg 3.14, 3 Tl 3.32-3.41
Hg8 0.4930 0.8222 0.6697  1 Hg 3.14, 3 Tl 3.32-3.41
Rb1 0.5698 0.0000 0.8603  8 Hg 3.71-3.94, 6 Tl 3.99-4.07
Rb2 0.3198 0.5000 0.3603  8 Hg 3.71-3.94, 6 Tl 3.99-4.07
Rb3 0.4302 0.0000 0.1397  8 Hg 3.71-3.94, 6 Tl 3.99-4.07
Rb4 0.1802 0.5000 0.6397  8 Hg 3.71-3.94, 6 Tl 3.99-4.07

---

Entry 6:
Below is a relaxed structure of Rb3RuCl8, with properties calculated at the GGA-PBE level.

Calculated values
The value obtained for the uncorrected formation energy is -0.927 eV per atom. As for the relative energy among the computed polymorphs: 3.06 eV/f.u. As for the total energy: -3.17 eV per atom. Its space group is No. 139.

Cell lengths 7.3265, 7.3265, 8.7703 Å; angles 114.69, 114.69, 90.00 degrees
With the nearest neighbours (Å) after each atom.
Sites, in units of the cell vectors:
Cl1 0.6950 0.0972 0.7922  1 Ru 2.55
Cl2 0.0972 0.0972 0.7922  1 Ru 2.55
Cl3 0.3050 0.9028 0.2078  1 Ru 2.55
Cl4 0.0972 0.6950 0.7922  1 Ru 2.55
Cl5 0.9028 0.9028 0.2078  1 Ru 2.55
Cl6 0.6950 0.6950 0.7922  1 Ru 2.55
Cl7 0.3050 0.3050 0.2078  1 Ru 2.55
Cl8 0.9028 0.3050 0.2078  1 Ru 2.55
Rb1 0.2500 0.7500 0.5000  8 Cl 3.35
Rb2 0.5000 0.5000 0.0000  8 Cl 3.43
Rb3 0.7500 0.2500 0.5000  8 Cl 3.35
Ru1 0.0000 0.0000 0.0000  8 Cl 2.55